(1)
The following is a PBE calculation of LiGaAgF5 after structural relaxation, from the Alexandria database.

Cell lengths 5.7584, 5.7584, 7.4744 Å; angles 103.50, 103.50, 108.52 degrees
With the nearest neighbours (Å) after each atom.
Fractional positions:
Li 0.1895 0.8105 0.7500  4 F 1.90
Li 0.8105 0.1895 0.2500  4 F 1.90
Ga 0.5000 0.5000 0.0000  6 F 1.89-1.97
Ga 0.5000 0.5000 0.5000  6 F 1.89-1.97
Ag 0.1608 0.8392 0.2500  5 F 2.47-2.55
Ag 0.8392 0.1608 0.7500  5 F 2.47-2.55
F 0.1474 0.2698 0.4198  1 Ga 1.89, 1 Li 1.90
F 0.2126 0.5856 0.8970  1 Li 1.90, 1 Ga 1.92
F 0.2698 0.1474 0.9198  1 Ga 1.89, 1 Li 1.90
F 0.4144 0.7874 0.6030  1 Li 1.90, 1 Ga 1.92
F 0.4335 0.5665 0.2500  2 Ga 1.97
F 0.5665 0.4335 0.7500  2 Ga 1.97
F 0.5856 0.2126 0.3970  1 Li 1.90, 1 Ga 1.92
F 0.7302 0.8526 0.0802  1 Ga 1.89, 1 Li 1.90
F 0.7874 0.4144 0.1030  1 Li 1.90, 1 Ga 1.92
F 0.8526 0.7302 0.5802  1 Ga 1.89, 1 Li 1.90

## Properties
E, eV per cell: -71.67
Fermi-level density of states, states/eV/f.u.: 0.0

(2)
The following is a PBE calculation of BaSn2Bi after structural relaxation, from the Alexandria database.

Cell lengths 5.0280, 5.0280, 5.1345 Å; angles 90.00, 90.00, 90.00 degrees
With the nearest neighbours (Å) after each atom.
Fractional positions:
Ba 0.0000 0.0000 0.0000  4 Bi 3.56, 8 Sn 3.59
Sn 0.0000 0.5000 0.5000  4 Sn 3.56, 4 Ba 3.59, 4 Bi 3.59
Sn 0.5000 0.0000 0.5000  4 Sn 3.56, 4 Ba 3.59, 4 Bi 3.59
Bi 0.5000 0.5000 0.0000  4 Ba 3.56, 8 Sn 3.59

## Properties
ΔE_f, eV/atom: -0.395
Fermi-level density of states, states/eV/f.u.: 2.5

Q: Among the records above, which one has the highest Fermi-level density of states?
A: BaSn2Bi